Entry 1:
Below is crystalline LaMgSn2 at its relaxed geometry, with properties calculated at the PBE-GGA level.

a = 4.584 Å, b = 4.845 Å, c = 4.845 Å
α = 90.00°, β = 90.00°, γ = 90.00°
Element x y z (fractional)
Mg 0.500 0.500 0.500
Sn 0.000 0.000 0.500
Sn 0.000 0.500 0.000
La 0.500 0.000 0.000

Computed properties:
Energy relative to the elements ... -218 kJ/mol of formula units
Volume ... 26.9 Å³/atom

Entry 2:
Below is crystalline La14MgSn at its relaxed geometry, with properties calculated at the PBE-GGA level.

a = 7.257 Å, b = 7.257 Å, c = 10.522 Å
α = 90.00°, β = 90.00°, γ = 90.00°
Element x y z (fractional)
La 0.875 0.875 0.000
La 0.375 0.375 0.000
La 0.875 0.375 0.500
La 0.875 0.375 0.000
La 0.375 0.875 0.500
La 0.375 0.875 0.000
La 0.629 0.121 0.257
La 0.629 0.121 0.743
La 0.121 0.629 0.257
La 0.121 0.629 0.743
La 0.629 0.629 0.257
La 0.629 0.629 0.743
La 0.121 0.121 0.257
La 0.121 0.121 0.743
Mg 0.375 0.375 0.500
Sn 0.875 0.875 0.500

Computed properties:
Energy relative to the elements ... -174 kJ/mol of formula units
Volume ... 34.6 Å³/atom

Entry 3:
Below is crystalline LaMgSn3 at its relaxed geometry, with properties calculated at the PBE-GGA level.

a = 6.379 Å, b = 6.441 Å, c = 13.474 Å
α = 90.00°, β = 90.00°, γ = 89.99°
Element x y z (fractional)
La 0.503 0.250 0.689
La 0.497 0.750 0.311
La 0.003 0.250 0.311
La 0.997 0.750 0.689
Mg 0.250 0.500 0.109
Mg 0.750 0.000 0.891
Mg 0.750 0.500 0.891
Mg 0.250 0.000 0.109
Sn 0.250 0.000 0.500
Sn 0.750 0.500 0.500
Sn 0.750 0.000 0.500
Sn 0.250 0.500 0.500
Sn 0.196 0.750 0.919
Sn 0.804 0.250 0.081
Sn 0.696 0.750 0.081
Sn 0.304 0.250 0.919
Sn 0.495 0.750 0.741
Sn 0.505 0.250 0.259
Sn 0.995 0.750 0.259
Sn 0.005 0.250 0.741

Computed properties:
Energy relative to the elements ... -203 kJ/mol of formula units
Volume ... 27.7 Å³/atom

Entry 4:
Below is crystalline LaMg3Sn at its relaxed geometry, with properties calculated at the PBE-GGA level.

a = 5.401 Å, b = 5.401 Å, c = 5.401 Å
α = 90.00°, β = 90.00°, γ = 90.00°
Element x y z (fractional)
Mg 0.000 0.500 0.000
Mg 0.000 0.000 0.500
Mg 0.500 0.000 0.000
Sn 0.000 0.000 0.000
La 0.500 0.500 0.500

Computed properties:
Energy relative to the elements ... 107 kJ/mol of formula units
Volume ... 31.5 Å³/atom
Polymorph energy (0 for the lowest one) ... 0.0000 eV/atom

Entry 5:
Below is crystalline LaMgSn3 at its relaxed geometry, with properties calculated at the PBE-GGA level.

a = 6.036 Å, b = 6.036 Å, c = 6.036 Å
α = 90.00°, β = 90.00°, γ = 90.00°
Element x y z (fractional)
Mg 0.500 0.500 0.500
Sn 0.000 0.500 0.000
Sn 0.000 0.000 0.500
Sn 0.500 0.000 0.000
La 0.000 0.000 0.000

Computed properties:
Energy relative to the elements ... 316 kJ/mol of formula units
Volume ... 44.0 Å³/atom

Entry 6:
Below is crystalline LaMg6Sn at its relaxed geometry, with properties calculated at the PBE-GGA level.

a = 6.834 Å, b = 6.834 Å, c = 5.214 Å
α = 90.00°, β = 90.00°, γ = 123.13°
Element x y z (fractional)
La 0.324 0.676 0.500
Mg 0.826 0.672 0.500
Mg 0.328 0.174 0.500
Mg 0.677 0.822 0.000
Mg 0.178 0.323 0.000
Mg 0.675 0.325 0.000
Mg 0.156 0.844 0.000
Sn 0.837 0.163 0.500

Computed properties:
Energy relative to the elements ... -82 kJ/mol of formula units
Volume ... 25.5 Å³/atom